{
  "formula": "Na3Mg",
  "functional": "GGA-PBE",
  "state": "optimized geometry",
  "formation_energy_ev_per_atom": 0.08,
  "mass_density_g_cm3": 1.22,
  "dos_at_fermi_per_ev_cell": 6.91,
  "magmom_total_mub_per_fu": 0.00,
  "spacegroup": "No. 62",
  "lattice": [[5.964, 0.000, 0.000], [0.000, 11.782, 0.000], [0.000, 0.000, 7.246]],
  "species": ["Na", "Na", "Na", "Na", "Na", "Na", "Na", "Na", "Na", "Na", "Na", "Na", "Mg", "Mg", "Mg", "Mg"],
  "fractional_positions": [[0.097, 0.250, 0.123], [0.241, 0.504, 0.378], [0.241, 0.996, 0.378], [0.259, 0.004, 0.878], [0.259, 0.496, 0.878], [0.403, 0.750, 0.623], [0.597, 0.250, 0.377], [0.741, 0.504, 0.122], [0.741, 0.996, 0.122], [0.759, 0.004, 0.622], [0.759, 0.496, 0.622], [0.903, 0.750, 0.877], [0.099, 0.250, 0.641], [0.401, 0.750, 0.141], [0.599, 0.250, 0.859], [0.901, 0.750, 0.359]]
}

{
  "formula": "CaNbCu",
  "functional": "GGA-PBE",
  "state": "optimized geometry",
  "formation_energy_ev_per_atom": 0.35,
  "polymorph_energy_mev_per_atom": 196,
  "mass_density_g_cm3": 4.86,
  "dos_at_fermi_per_ev_cell": 4.43,
  "magmom_total_mub_per_fu": 0.00,
  "spacegroup": "No. 8",
  "lattice": [[5.567, -1.753, 0.000], [5.567, 1.753, 0.000], [-3.223, 0.000, 6.881]],
  "species": ["Ca", "Ca", "Nb", "Nb", "Cu", "Cu"],
  "fractional_positions": [[0.000, 0.000, 0.000], [0.238, 0.238, 0.545], [0.459, 0.459, 0.370], [0.773, 0.773, 0.196], [0.268, 0.268, 0.943], [0.607, 0.607, 0.759]]
}

{
  "formula": "ReRu2Pb",
  "functional": "GGA-PBE",
  "state": "optimized geometry",
  "formation_energy_ev_per_atom": 0.50,
  "mass_density_g_cm3": 14.57,
  "dos_at_fermi_per_ev_cell": 4.16,
  "magmom_total_mub_per_fu": 0.00,
  "spacegroup": "No. 166",
  "lattice": [[1.460, 0.843, 9.196], [-1.460, 0.843, 9.196], [0.000, -1.686, 9.196]],
  "species": ["Re", "Ru", "Ru", "Pb"],
  "fractional_positions": [[0.000, 0.000, 0.000], [0.259, 0.259, 0.259], [0.741, 0.741, 0.741], [0.500, 0.500, 0.500]]
}

{
  "formula": "TmZn2Au",
  "functional": "GGA-PBE",
  "state": "optimized geometry",
  "formation_energy_ev_per_atom": -0.39,
  "mass_density_g_cm3": 10.66,
  "dos_at_fermi_per_ev_cell": 2.60,
  "magmom_total_mub_per_fu": 0.00,
  "spacegroup": "No. 123",
  "lattice": [[4.173, 0.000, 0.000], [0.000, 4.173, 0.000], [0.000, 0.000, 4.443]],
  "species": ["Tm", "Zn", "Zn", "Au"],
  "fractional_positions": [[0.000, 0.000, 0.000], [0.000, 0.500, 0.500], [0.500, 0.000, 0.500], [0.500, 0.500, 0.000]]
}

{
  "formula": "AcPmPrTh",
  "functional": "GGA-PBE",
  "state": "optimized geometry",
  "formation_energy_ev_per_atom": 0.19,
  "polymorph_energy_mev_per_atom": 148,
  "mass_density_g_cm3": 8.45,
  "dos_at_fermi_per_ev_cell": 9.19,
  "magmom_total_mub_per_fu": 0.00,
  "spacegroup": "No. 216",
  "lattice": [[0.000, 4.183, 4.183], [4.183, 0.000, 4.183], [4.183, 4.183, 0.000]],
  "species": ["Ac", "Pm", "Pr", "Th"],
  "fractional_positions": [[0.000, 0.000, 0.000], [0.750, 0.750, 0.750], [0.250, 0.250, 0.250], [0.500, 0.500, 0.500]]
}

{
  "formula": "Y2AlAuN",
  "functional": "GGA-PBE",
  "state": "optimized geometry",
  "mass_density_g_cm3": 7.34,
  "e_form_raw_ev_per_atom": -0.919,
  "dos_at_fermi_per_ev_cell": 2.85,
  "magmom_total_mub_per_fu": 0.00,
  "spacegroup": "No. 123",
  "lattice": [[4.888, 0.000, 0.000], [0.000, 4.888, 0.000], [0.000, 0.000, 3.937]],
  "species": ["Y", "Y", "Al", "Au", "N"],
  "fractional_positions": [[0.000, 0.500, 0.000], [0.500, 0.000, 0.000], [0.000, 0.000, 0.500], [0.500, 0.500, 0.500], [0.000, 0.000, 0.000]]
}

{
  "formula": "AcPm4Sm15",
  "functional": "GGA-PBE",
  "state": "optimized geometry",
  "formation_energy_ev_per_atom": 0.02,
  "mass_density_g_cm3": 7.39,
  "dos_at_fermi_per_ev_cell": 29.40,
  "magmom_total_mub_per_fu": 0.00,
  "spacegroup": "No. 123",
  "lattice": [[5.165, 0.000, 0.000], [0.000, 5.165, 0.000], [0.000, 0.000, 25.796]],
  "species": ["Ac", "Pm", "Pm", "Pm", "Pm", "Sm", "Sm", "Sm", "Sm", "Sm", "Sm", "Sm", "Sm", "Sm", "Sm", "Sm", "Sm", "Sm", "Sm", "Sm"],
  "fractional_positions": [[0.000, 0.000, 0.000], [0.000, 0.000, 0.202], [0.000, 0.000, 0.401], [0.000, 0.000, 0.599], [0.000, 0.000, 0.798], [0.000, 0.500, 0.104], [0.000, 0.500, 0.302], [0.000, 0.500, 0.500], [0.000, 0.500, 0.698], [0.000, 0.500, 0.896], [0.500, 0.000, 0.104], [0.500, 0.000, 0.302], [0.500, 0.000, 0.500], [0.500, 0.000, 0.698], [0.500, 0.000, 0.896], [0.500, 0.500, 0.000], [0.500, 0.500, 0.203], [0.500, 0.500, 0.401], [0.500, 0.500, 0.599], [0.500, 0.500, 0.797]]
}

{
  "formula": "Rb2LiCdRh",
  "functional": "GGA-PBE",
  "state": "optimized geometry",
  "formation_energy_ev_per_atom": 0.43,
  "mass_density_g_cm3": 3.15,
  "dos_at_fermi_per_ev_cell": 2.17,
  "magmom_total_mub_per_fu": 0.00,
  "spacegroup": "No. 123",
  "lattice": [[6.262, 0.000, 0.000], [0.000, 6.262, 0.000], [0.000, 0.000, 5.280]],
  "species": ["Rb", "Rb", "Li", "Cd", "Rh"],
  "fractional_positions": [[0.000, 0.500, 0.000], [0.500, 0.000, 0.000], [0.000, 0.000, 0.500], [0.500, 0.500, 0.500], [0.500, 0.500, 0.000]]
}

{
  "formula": "V2ReTePd",
  "functional": "GGA-PBE",
  "state": "optimized geometry",
  "mass_density_g_cm3": 7.95,
  "e_form_raw_ev_per_atom": 1.401,
  "dos_at_fermi_per_ev_cell": 6.53,
  "magmom_total_mub_per_fu": 2.61,
  "spacegroup": "No. 123",
  "lattice": [[4.721, 0.000, 0.000], [0.000, 4.721, 0.000], [0.000, 0.000, 4.896]],
  "species": ["V", "V", "Re", "Te", "Pd"],
  "fractional_positions": [[0.000, 0.500, 0.000], [0.500, 0.000, 0.000], [0.000, 0.000, 0.500], [0.500, 0.500, 0.500], [0.000, 0.000, 0.000]]
}

{
  "formula": "AcAl3Ge3",
  "functional": "GGA-PBE",
  "state": "optimized geometry",
  "formation_energy_ev_per_atom": -0.09,
  "polymorph_energy_mev_per_atom": 195,
  "mass_density_g_cm3": 5.03,
  "dos_at_fermi_per_ev_cell": 4.51,
  "magmom_total_mub_per_fu": 0.00,
  "spacegroup": "No. 223",
  "lattice": [[7.027, 0.000, 0.000], [0.000, 7.027, 0.000], [0.000, 0.000, 7.027]],
  "species": ["Ac", "Ac", "Al", "Al", "Al", "Al", "Al", "Al", "Ge", "Ge", "Ge", "Ge", "Ge", "Ge"],
  "fractional_positions": [[0.000, 0.000, 0.000], [0.500, 0.500, 0.500], [0.000, 0.250, 0.500], [0.000, 0.750, 0.500], [0.250, 0.500, 0.000], [0.500, 0.000, 0.250], [0.500, 0.000, 0.750], [0.750, 0.500, 0.000], [0.000, 0.500, 0.250], [0.000, 0.500, 0.750], [0.250, 0.000, 0.500], [0.500, 0.250, 0.000], [0.500, 0.750, 0.000], [0.750, 0.000, 0.500]]
}

{
  "formula": "Fe5CoN4",
  "functional": "GGA-PBE",
  "state": "optimized geometry",
  "mass_density_g_cm3": 7.19,
  "e_form_raw_ev_per_atom": 0.093,
  "dos_at_fermi_per_ev_cell": 16.12,
  "magmom_total_mub_per_fu": 0.00,
  "spacegroup": "No. 59",
  "lattice": [[5.683, 0.000, 0.000], [0.000, 6.851, 0.000], [0.000, 0.000, 4.675]],
  "species": ["Fe", "Fe", "Fe", "Fe", "Fe", "Fe", "Fe", "Fe", "Fe", "Fe", "Co", "Co", "N", "N", "N", "N", "N", "N", "N", "N"],
  "fractional_positions": [[0.006, 0.056, 0.249], [0.006, 0.444, 0.249], [0.250, 0.750, 0.298], [0.494, 0.056, 0.249], [0.494, 0.444, 0.249], [0.506, 0.556, 0.751], [0.506, 0.944, 0.751], [0.750, 0.250, 0.702], [0.994, 0.556, 0.751], [0.994, 0.944, 0.751], [0.250, 0.250, 0.715], [0.750, 0.750, 0.285], [0.008, 0.750, 0.024], [0.250, 0.510, 0.508], [0.250, 0.990, 0.508], [0.492, 0.750, 0.024], [0.508, 0.250, 0.976], [0.750, 0.010, 0.492], [0.750, 0.490, 0.492], [0.992, 0.250, 0.976]]
}

{
  "formula": "HoAgRu",
  "functional": "GGA-PBE",
  "state": "optimized geometry",
  "formation_energy_ev_per_atom": -0.07,
  "mass_density_g_cm3": 10.21,
  "dos_at_fermi_per_ev_cell": 5.06,
  "magmom_total_mub_per_fu": 0.00,
  "spacegroup": "No. 11",
  "lattice": [[5.307, 0.000, 0.000], [0.000, 4.662, 0.000], [-2.353, 0.000, 4.915]],
  "species": ["Ho", "Ho", "Ag", "Ag", "Ru", "Ru"],
  "fractional_positions": [[0.008, 0.250, 0.249], [0.992, 0.750, 0.751], [0.383, 0.250, 0.859], [0.617, 0.750, 0.141], [0.432, 0.750, 0.558], [0.568, 0.250, 0.442]]
}

{
  "formula": "GeBW2",
  "functional": "GGA-PBE",
  "state": "optimized geometry",
  "formation_energy_ev_per_atom": 1.11,
  "polymorph_energy_mev_per_atom": 490,
  "mass_density_g_cm3": 10.40,
  "dos_at_fermi_per_ev_cell": 7.25,
  "magmom_total_mub_per_fu": 0.00,
  "spacegroup": "No. 122",
  "lattice": [[-2.456, 2.456, 5.971], [2.456, -2.456, 5.971], [2.456, 2.456, -5.971]],
  "species": ["Ge", "Ge", "B", "B", "W", "W", "W", "W"],
  "fractional_positions": [[0.000, 0.000, 0.000], [0.750, 0.250, 0.500], [0.250, 0.750, 0.500], [0.500, 0.500, 0.000], [0.220, 0.625, 0.095], [0.375, 0.470, 0.595], [0.530, 0.125, 0.905], [0.875, 0.780, 0.405]]
}

{
  "formula": "SrIn2Se",
  "functional": "GGA-PBE",
  "state": "optimized geometry",
  "mass_density_g_cm3": 5.83,
  "e_form_raw_ev_per_atom": -0.480,
  "dos_at_fermi_per_ev_cell": 4.25,
  "magmom_total_mub_per_fu": 0.00,
  "spacegroup": "No. 216",
  "lattice": [[0.000, 3.836, 3.836], [3.836, 0.000, 3.836], [3.836, 3.836, 0.000]],
  "species": ["Sr", "In", "In", "Se"],
  "fractional_positions": [[0.000, 0.000, 0.000], [0.250, 0.250, 0.250], [0.500, 0.500, 0.500], [0.750, 0.750, 0.750]]
}

{
  "formula": "Sr2NpTcN5",
  "functional": "GGA-PBE",
  "state": "optimized geometry",
  "mass_density_g_cm3": 7.10,
  "e_form_raw_ev_per_atom": -0.738,
  "dos_at_fermi_per_ev_cell": 5.56,
  "magmom_total_mub_per_fu": 1.01,
  "spacegroup": "No. 36",
  "lattice": [[1.757, -6.860, 0.000], [1.757, 6.860, 0.000], [0.000, 0.000, 11.260]],
  "species": ["Sr", "Sr", "Sr", "Sr", "Np", "Np", "Tc", "Tc", "N", "N", "N", "N", "N", "N", "N", "N", "N", "N"],
  "fractional_positions": [[0.104, 0.896, 0.500], [0.147, 0.853, 0.135], [0.853, 0.147, 0.635], [0.896, 0.104, 0.000], [0.208, 0.792, 0.843], [0.792, 0.208, 0.343], [0.478, 0.522, 0.275], [0.522, 0.478, 0.775], [0.041, 0.959, 0.852], [0.287, 0.713, 0.461], [0.318, 0.682, 0.231], [0.363, 0.637, 0.822], [0.495, 0.505, 0.623], [0.505, 0.495, 0.123], [0.637, 0.363, 0.322], [0.682, 0.318, 0.731], [0.713, 0.287, 0.961], [0.959, 0.041, 0.352]]
}

{
  "formula": "Tl12HgAu6",
  "functional": "GGA-PBE",
  "state": "optimized geometry",
  "formation_energy_ev_per_atom": 0.02,
  "polymorph_energy_mev_per_atom": 25,
  "mass_density_g_cm3": 11.87,
  "dos_at_fermi_per_ev_cell": 8.59,
  "magmom_total_mub_per_fu": 0.00,
  "spacegroup": "No. 204",
  "lattice": [[-5.118, 5.118, 5.118], [5.118, -5.118, 5.118], [5.118, 5.118, -5.118]],
  "species": ["Tl", "Tl", "Tl", "Tl", "Tl", "Tl", "Tl", "Tl", "Tl", "Tl", "Tl", "Tl", "Hg", "Au", "Au", "Au", "Au", "Au", "Au"],
  "fractional_positions": [[0.106, 0.820, 0.285], [0.180, 0.285, 0.465], [0.180, 0.715, 0.894], [0.285, 0.106, 0.820], [0.285, 0.465, 0.180], [0.465, 0.180, 0.285], [0.535, 0.820, 0.715], [0.715, 0.535, 0.820], [0.715, 0.894, 0.180], [0.820, 0.285, 0.106], [0.820, 0.715, 0.535], [0.894, 0.180, 0.715], [0.000, 0.000, 0.000], [0.137, 0.637, 0.500], [0.363, 0.500, 0.863], [0.500, 0.137, 0.637], [0.500, 0.863, 0.363], [0.637, 0.500, 0.137], [0.863, 0.363, 0.500]]
}

{
  "formula": "AlNCl3",
  "functional": "GGA-PBE",
  "state": "optimized geometry",
  "polymorph_energy_mev_per_atom": 0,
  "mass_density_g_cm3": 1.20,
  "e_form_raw_ev_per_atom": -0.154,
  "dos_at_fermi_per_ev_cell": 0.00,
  "magmom_total_mub_per_fu": 2.95,
  "spacegroup": "No. 2",
  "lattice": [[6.326, 0.000, 0.000], [-0.050, 7.306, 0.000], [-0.270, -0.385, 8.828]],
  "species": ["Al", "Al", "N", "N", "Cl", "Cl", "Cl", "Cl", "Cl", "Cl"],
  "fractional_positions": [[0.249, 0.087, 0.473], [0.751, 0.913, 0.527], [0.223, 0.209, 0.018], [0.777, 0.791, 0.982], [0.054, 0.864, 0.362], [0.247, 0.352, 0.389], [0.447, 0.020, 0.674], [0.553, 0.980, 0.326], [0.753, 0.648, 0.611], [0.946, 0.136, 0.638]]
}

{
  "formula": "Nb2PdS6",
  "functional": "GGA-PBE",
  "state": "optimized geometry",
  "mass_density_g_cm3": 4.06,
  "e_form_raw_ev_per_atom": -0.500,
  "dos_at_fermi_per_ev_cell": 3.74,
  "magmom_total_mub_per_fu": 0.00,
  "spacegroup": "No. 12",
  "lattice": [[5.980, -2.294, 0.000], [5.980, 2.294, 0.000], [-3.263, 0.000, 7.229]],
  "species": ["Nb", "Nb", "Pd", "S", "S", "S", "S", "S", "S"],
  "fractional_positions": [[0.187, 0.187, 0.150], [0.813, 0.813, 0.850], [0.000, 0.000, 0.500], [0.013, 0.013, 0.212], [0.305, 0.305, 0.941], [0.353, 0.353, 0.424], [0.647, 0.647, 0.576], [0.695, 0.695, 0.059], [0.987, 0.987, 0.788]]
}

{
  "formula": "Sm6Y3Sc",
  "functional": "GGA-PBE",
  "state": "optimized geometry",
  "formation_energy_ev_per_atom": 0.13,
  "polymorph_energy_mev_per_atom": 0,
  "mass_density_g_cm3": 6.13,
  "dos_at_fermi_per_ev_cell": 27.12,
  "magmom_total_mub_per_fu": 0.00,
  "spacegroup": "No. 36",
  "lattice": [[5.536, -9.603, 0.000], [5.536, 9.603, 0.000], [0.000, 0.000, 6.185]],
  "species": ["Sm", "Sm", "Sm", "Sm", "Sm", "Sm", "Sm", "Sm", "Sm", "Sm", "Sm", "Sm", "Y", "Y", "Y", "Y", "Y", "Y", "Sc", "Sc"],
  "fractional_positions": [[0.047, 0.953, 0.500], [0.051, 0.474, 0.926], [0.277, 0.723, 0.211], [0.290, 0.380, 0.104], [0.380, 0.290, 0.604], [0.474, 0.051, 0.426], [0.526, 0.949, 0.926], [0.620, 0.710, 0.104], [0.710, 0.620, 0.604], [0.723, 0.277, 0.711], [0.949, 0.526, 0.426], [0.953, 0.047, 0.000], [0.054, 0.276, 0.527], [0.276, 0.054, 0.027], [0.386, 0.614, 0.635], [0.614, 0.386, 0.135], [0.724, 0.946, 0.527], [0.946, 0.724, 0.027], [0.204, 0.796, 0.692], [0.796, 0.204, 0.192]]
}

{
  "formula": "CoPb",
  "functional": "GGA-PBE",
  "state": "optimized geometry",
  "formation_energy_ev_per_atom": 0.57,
  "mass_density_g_cm3": 10.58,
  "dos_at_fermi_per_ev_cell": 8.42,
  "magmom_total_mub_per_fu": 1.24,
  "spacegroup": "No. 70",
  "lattice": [[0.000, 4.090, 6.382], [3.202, 0.000, 6.382], [3.202, 4.090, 0.000]],
  "species": ["Co", "Co", "Co", "Co", "Pb", "Pb", "Pb", "Pb"],
  "fractional_positions": [[0.035, 0.035, 0.215], [0.215, 0.215, 0.035], [0.785, 0.785, 0.965], [0.965, 0.965, 0.785], [0.184, 0.566, 0.184], [0.434, 0.816, 0.434], [0.566, 0.184, 0.566], [0.816, 0.434, 0.816]]
}

{
  "formula": "Th2Sc7",
  "functional": "GGA-PBE",
  "state": "optimized geometry",
  "formation_energy_ev_per_atom": 0.03,
  "mass_density_g_cm3": 5.51,
  "dos_at_fermi_per_ev_cell": 12.28,
  "magmom_total_mub_per_fu": 0.00,
  "spacegroup": "No. 162",
  "lattice": [[5.810, 0.000, 0.000], [-2.905, 5.032, 0.000], [0.000, 0.000, 8.035]],
  "species": ["Th", "Th", "Sc", "Sc", "Sc", "Sc", "Sc", "Sc", "Sc"],
  "fractional_positions": [[0.333, 0.667, 0.000], [0.667, 0.333, 0.000], [0.000, 0.000, 0.000], [0.000, 0.332, 0.664], [0.000, 0.668, 0.336], [0.332, 0.000, 0.664], [0.332, 0.332, 0.336], [0.668, 0.000, 0.336], [0.668, 0.668, 0.664]]
}